# 1
# TmCuGeSe2S

An optimized crystal structure of TmCuGeSe2S (PBE-GGA, the Open Quantum Materials Database).

Values from the calculation:
Size of the total moment: 0.000 μB/atom
Calculated volume: 504.41 Å³ per cell
E_tot: -115.8 eV per cell

Geometry as CIF:
```
data_TmCuGeSe2S
_space_group_name_H-M_alt 'C m c m'
_space_group_IT_number 63
_space_group_name_Hall '-C 2c 2'
_cell_length_a 3.858
_cell_length_b 13.041
_cell_length_c 10.026
_cell_angle_alpha 90.00
_cell_angle_beta 90.00
_cell_angle_gamma 90.00
loop_
_atom_site_label
_atom_site_type_symbol
_atom_site_fract_x
_atom_site_fract_y
_atom_site_fract_z
Tm1 Tm 0.000 0.000 0.000
Cu1 Cu 0.000 0.478 0.250
Ge1 Ge 0.000 0.242 0.750
Se1 Se 0.000 0.350 0.070
S1 S 0.000 0.083 0.250
```

***

# 2
# OsCl

An optimized crystal structure of OsCl (PBE-GGA, the Open Quantum Materials Database).

Values from the calculation:
Size of the total moment: 0.001 μB/atom
Calculated volume: 64.39 Å³ per cell
E_tot: -22.3 eV per cell

Geometry as CIF:
```
data_OsCl
_space_group_name_H-M_alt 'P 63 m c'
_space_group_IT_number 186
_space_group_name_Hall 'P 6c -2c'
_cell_length_a 2.8226
_cell_length_b 2.8226
_cell_length_c 9.3319
_cell_angle_alpha 90.00
_cell_angle_beta 90.00
_cell_angle_gamma 120.00
loop_
_atom_site_label
_atom_site_type_symbol
_atom_site_fract_x
_atom_site_fract_y
_atom_site_fract_z
Os1 Os 0.3333 0.6667 0.0000
Cl1 Cl 0.3333 0.6667 0.7653
```

***

# 3
# BeCuGeAu

An optimized crystal structure of BeCuGeAu (PBE-GGA, the Open Quantum Materials Database).

Values from the calculation:
Calculated volume: 229.83 Å³ per cell
E_tot: -58.1 eV per cell

Geometry as CIF:
```
data_BeCuGeAu
_space_group_name_H-M_alt 'F -4 3 m'
_space_group_IT_number 216
_space_group_name_Hall 'F -4 2 3'
_cell_length_a 6.125
_cell_length_b 6.125
_cell_length_c 6.125
_cell_angle_alpha 90.00
_cell_angle_beta 90.00
_cell_angle_gamma 90.00
loop_
_atom_site_label
_atom_site_type_symbol
_atom_site_fract_x
_atom_site_fract_y
_atom_site_fract_z
Be1 Be 0.000 0.000 0.000
Cu1 Cu 0.000 0.000 0.500
Ge1 Ge 0.250 0.250 0.250
Au1 Au 0.250 0.250 0.750
```

***

# 4
# BaLaAgO3

An optimized crystal structure of BaLaAgO3 (PBE-GGA, the Open Quantum Materials Database).

Values from the calculation:
Size of the total moment: 0.000 μB/atom
Calculated volume: 464.49 Å³ per cell
E_tot: -152.1 eV per cell

Geometry as CIF:
```
data_BaLaAgO3
_space_group_name_H-M_alt 'C m c m'
_space_group_IT_number 63
_space_group_name_Hall '-C 2c 2'
_cell_length_a 3.904
_cell_length_b 13.218
_cell_length_c 9.002
_cell_angle_alpha 90.00
_cell_angle_beta 90.00
_cell_angle_gamma 90.00
loop_
_atom_site_label
_atom_site_type_symbol
_atom_site_fract_x
_atom_site_fract_y
_atom_site_fract_z
Ba1 Ba 0.000 0.190 0.250
La1 La 0.000 0.500 0.000
Ag1 Ag 0.000 0.108 0.750
O1 O 0.000 0.115 0.522
O2 O 0.000 0.436 0.750
```

***

# 5
# Dy3Mg3ZnCd2

An optimized crystal structure of Dy3Mg3ZnCd2 (PBE-GGA, the Open Quantum Materials Database).

Values from the calculation:
Size of the total moment: 0.001 μB/atom
Calculated volume: 219.70 Å³ per cell
E_tot: -23.8 eV per cell

Geometry as CIF:
```
data_Dy3Mg3ZnCd2
_space_group_name_H-M_alt 'P -6 2 m'
_space_group_IT_number 189
_space_group_name_Hall 'P -6 -2'
_cell_length_a 7.6511
_cell_length_b 7.6511
_cell_length_c 4.3336
_cell_angle_alpha 90.00
_cell_angle_beta 90.00
_cell_angle_gamma 120.00
loop_
_atom_site_label
_atom_site_type_symbol
_atom_site_fract_x
_atom_site_fract_y
_atom_site_fract_z
Dy1 Dy 0.0000 0.5928 0.0000
Mg1 Mg 0.0000 0.2383 0.5000
Zn1 Zn 0.0000 0.0000 0.0000
Cd1 Cd 0.3333 0.6667 0.5000
```

***

# 6
# TbEr2Cu4Si4

An optimized crystal structure of TbEr2Cu4Si4 (PBE-GGA, the Open Quantum Materials Database).

Values from the calculation:
Size of the total moment: 0.000 μB/atom
Calculated volume: 364.77 Å³ per cell
E_tot: -114.8 eV per cell

Geometry as CIF:
```
data_TbEr2Cu4Si4
_space_group_name_H-M_alt 'I m m m'
_space_group_IT_number 71
_space_group_name_Hall '-I 2 2'
_cell_length_a 4.100
_cell_length_b 6.536
_cell_length_c 13.611
_cell_angle_alpha 90.00
_cell_angle_beta 90.00
_cell_angle_gamma 90.00
loop_
_atom_site_label
_atom_site_type_symbol
_atom_site_fract_x
_atom_site_fract_y
_atom_site_fract_z
Tb1 Tb 0.000 0.000 0.000
Er1 Er 0.000 0.500 0.129
Cu1 Cu 0.000 0.308 0.331
Si1 Si 0.000 0.000 0.217
Si2 Si 0.000 0.184 0.500
```

***

# 7
# Cu4Ag

An optimized crystal structure of Cu4Ag (PBE-GGA, the Open Quantum Materials Database).

Values from the calculation:
Calculated volume: 130.64 Å³ per cell
Energy of formation from the pure elements: 0.4 eV per formula unit
E_tot: -34.6 eV per cell

Geometry as CIF:
```
data_Cu4Ag
_space_group_name_H-M_alt 'P -1'
_space_group_IT_number 2
_space_group_name_Hall '-P 1'
_cell_length_a 4.567
_cell_length_b 4.575
_cell_length_c 6.977
_cell_angle_alpha 102.61
_cell_angle_beta 108.16
_cell_angle_gamma 99.79
loop_
_atom_site_label
_atom_site_type_symbol
_atom_site_fract_x
_atom_site_fract_y
_atom_site_fract_z
Cu1 Cu 0.000 0.000 0.000
Cu2 Cu 0.000 0.500 0.500
Cu3 Cu 0.188 0.090 0.687
Cu4 Cu 0.205 0.619 0.213
Cu5 Cu 0.395 0.202 0.407
Ag1 Ag 0.392 0.693 0.890
```

***

# 8
# HgGePt

An optimized crystal structure of HgGePt (PBE-GGA, the Open Quantum Materials Database).

Values from the calculation:
Size of the total moment: 0.000 μB/atom
Calculated volume: 254.47 Å³ per cell
E_tot: -44.6 eV per cell

Geometry as CIF:
```
data_HgGePt
_space_group_name_H-M_alt 'F -4 3 m'
_space_group_IT_number 216
_space_group_name_Hall 'F -4 2 3'
_cell_length_a 6.337
_cell_length_b 6.337
_cell_length_c 6.337
_cell_angle_alpha 90.00
_cell_angle_beta 90.00
_cell_angle_gamma 90.00
loop_
_atom_site_label
_atom_site_type_symbol
_atom_site_fract_x
_atom_site_fract_y
_atom_site_fract_z
Hg1 Hg 0.000 0.000 0.000
Ge1 Ge 0.000 0.000 0.500
Pt1 Pt 0.250 0.250 0.750
```